--- 1 ---
! Ac2EuEr, optimized geometry, DFT PBE; values from VASP
! DOS at the Fermi energy   1.374 states/eV/atom
&SYSTEM
  ibrav = 0, nat = 4, ntyp = 3
/
ATOMIC_SPECIES
Eu 151.96 Eu.upf
Ac 227.00 Ac.upf
Er 167.26 Er.upf
CELL_PARAMETERS angstrom
6.0977 0.0000 0.0000
3.0488 5.2807 0.0000
3.0488 1.7602 4.9787
ATOMIC_POSITIONS crystal
Eu 0.0000 0.0000 0.0000
Ac 0.2500 0.2500 0.2500
Ac 0.7500 0.7500 0.7500
Er 0.5000 0.5000 0.5000

--- 2 ---
! Ac2EuEr, optimized geometry, DFT PBE; values from VASP
! DOS at the Fermi energy   1.694 states/eV/atom
&SYSTEM
  ibrav = 0, nat = 4, ntyp = 3
/
ATOMIC_SPECIES
Eu 151.96 Eu.upf
Ac 227.00 Ac.upf
Er 167.26 Er.upf
CELL_PARAMETERS angstrom
5.1745 0.0000 0.0000
0.0000 5.5460 0.0000
0.0000 0.0000 5.5460
ATOMIC_POSITIONS crystal
Eu 0.5000 0.5000 0.5000
Ac 0.0000 0.0000 0.5000
Ac 0.0000 0.5000 0.0000
Er 0.5000 0.0000 0.0000

--- 3 ---
! Ac2EuEr, optimized geometry, DFT PBE; values from VASP
! DOS at the Fermi energy   1.358 states/eV/atom
&SYSTEM
  ibrav = 0, nat = 4, ntyp = 3
/
ATOMIC_SPECIES
Eu 151.96 Eu.upf
Ac 227.00 Ac.upf
Er 167.26 Er.upf
CELL_PARAMETERS angstrom
3.9171 0.0000 0.0000
0.0000 3.9171 0.0000
0.0000 0.0000 10.5132
ATOMIC_POSITIONS crystal
Eu 0.5000 0.5000 0.5000
Ac 0.0000 0.0000 0.7662
Ac 0.0000 0.0000 0.2338
Er 0.5000 0.5000 0.0000

Energy ordering: 3 at the bottom, the next structure 3.6 kJ/mol of atoms above.

--- 1 ---
! AcEr2Ga6, optimized geometry, DFT PBE; values from VASP
! DOS at the Fermi energy   0.392 states/eV/atom
&SYSTEM
  ibrav = 0, nat = 9, ntyp = 3
/
ATOMIC_SPECIES
Ac 227.00 Ac.upf
Er 167.26 Er.upf
Ga 69.72 Ga.upf
CELL_PARAMETERS angstrom
4.4105 0.0000 0.0000
2.2052 7.3379 1.2295
2.2052 2.6537 6.9509
ATOMIC_POSITIONS crystal
Ac 0.0000 0.0000 0.0000
Er 0.8732 0.6268 0.6268
Er 0.1268 0.3732 0.3732
Ga 0.6875 0.0169 0.6081
Ga 0.3125 0.9831 0.3919
Ga 0.3125 0.3919 0.9831
Ga 0.5000 0.6716 0.3284
Ga 0.5000 0.3284 0.6716
Ga 0.6875 0.6081 0.0169

--- 2 ---
! AcEr2Ga6, optimized geometry, DFT PBE; values from VASP
! DOS at the Fermi energy   0.624 states/eV/atom
&SYSTEM
  ibrav = 0, nat = 9, ntyp = 3
/
ATOMIC_SPECIES
Ac 227.00 Ac.upf
Er 167.26 Er.upf
Ga 69.72 Ga.upf
CELL_PARAMETERS angstrom
4.3058 0.0000 0.0000
0.0000 6.4049 -3.6979
0.0000 0.0000 7.3958
ATOMIC_POSITIONS crystal
Ac 0.0000 0.0000 0.0000
Er 0.0000 0.3333 0.6667
Er 0.0000 0.6667 0.3333
Ga 0.5000 0.3379 0.3379
Ga 0.5000 0.6621 0.6621
Ga 0.5000 0.0000 0.6621
Ga 0.5000 0.6621 0.0000
Ga 0.5000 0.3379 0.0000
Ga 0.5000 0.0000 0.3379

Energy ordering: 2 at the bottom, the next structure 7.6 kJ/mol of atoms above.

--- 1 ---
! AcEr2Ge, optimized geometry, DFT PBE; values from VASP
! DOS at the Fermi energy   1.093 states/eV/atom
&SYSTEM
  ibrav = 0, nat = 4, ntyp = 3
/
ATOMIC_SPECIES
Ac 227.00 Ac.upf
Ge 72.64 Ge.upf
Er 167.26 Er.upf
CELL_PARAMETERS angstrom
4.0592 0.0000 0.0000
2.0296 3.5154 0.0000
2.0296 1.1718 9.3692
ATOMIC_POSITIONS crystal
Ac 0.5000 0.5000 0.5000
Ge 0.0000 0.0000 0.0000
Er 0.2776 0.2776 0.1671
Er 0.7224 0.7224 0.8329

--- 2 ---
! AcEr2Ge, optimized geometry, DFT PBE; values from VASP
! DOS at the Fermi energy   1.476 states/eV/atom
&SYSTEM
  ibrav = 0, nat = 4, ntyp = 3
/
ATOMIC_SPECIES
Ac 227.00 Ac.upf
Ge 72.64 Ge.upf
Er 167.26 Er.upf
CELL_PARAMETERS angstrom
-0.1522 2.6880 4.0304
-0.5867 -4.0120 2.6536
4.8077 -0.4045 0.4514
ATOMIC_POSITIONS crystal
Ac 0.5000 0.5000 0.5000
Ge 0.5000 0.0000 0.0000
Er 0.0000 0.0000 0.5000
Er 0.0000 0.5000 0.0000

Energy ordering: 1 at the bottom, the next structure 6.9 kJ/mol of atoms above.

--- 1 ---
! Ac2ErGe2, optimized geometry, DFT PBE; values from VASP
! DOS at the Fermi energy   0.930 states/eV/atom
&SYSTEM
  ibrav = 0, nat = 10, ntyp = 3
/
ATOMIC_SPECIES
Ac 227.00 Ac.upf
Er 167.26 Er.upf
Ge 72.64 Ge.upf
CELL_PARAMETERS angstrom
4.6511 0.0000 0.0000
0.0000 8.2707 0.0000
-2.3255 0.0000 8.6641
ATOMIC_POSITIONS crystal
Ac 0.9555 0.7317 0.9109
Ac 0.7933 0.3824 0.5866
Ac 0.2067 0.8824 0.4134
Ac 0.0445 0.2317 0.0891
Er 0.4067 0.0883 0.8134
Er 0.5933 0.5883 0.1866
Ge 0.4390 0.4336 0.8781
Ge 0.8244 0.9983 0.6489
Ge 0.1756 0.4983 0.3511
Ge 0.5610 0.9336 0.1219

--- 2 ---
! Ac2ErGe2, optimized geometry, DFT PBE; values from VASP
! DOS at the Fermi energy   0.847 states/eV/atom
&SYSTEM
  ibrav = 0, nat = 10, ntyp = 3
/
ATOMIC_SPECIES
Ac 227.00 Ac.upf
Er 167.26 Er.upf
Ge 72.64 Ge.upf
CELL_PARAMETERS angstrom
-0.0277 4.5651 1.3179
-2.2208 -2.1214 7.3013
7.6031 -0.5733 2.1460
ATOMIC_POSITIONS crystal
Ac 0.5000 0.1763 0.6763
Ac 0.5000 0.6763 0.8237
Ac 0.5000 0.8237 0.3237
Ac 0.5000 0.3237 0.1763
Er 0.0000 0.0000 0.0000
Er 0.0000 0.5000 0.5000
Ge 0.0000 0.3780 0.8780
Ge 0.0000 0.8780 0.6220
Ge 0.0000 0.6220 0.1220
Ge 0.0000 0.1220 0.3780

Energy ordering: 2 at the bottom, the next structure 8.0 kJ/mol of atoms above.